[1]
An optimized crystal structure of K2CdRu, computed with GGA-PBE.

## Properties
SG ... Cmmm
Energy of formation from the pure elements ... 19.04 kcal/mol of atoms
Total moment ... 1.60 μB per formula unit

a = 3.0820 Å, b = 3.0820 Å, c = 11.4736 Å
α = 90.00°, β = 90.00°, γ = 90.16°
Closest atoms and distances in Å follow each position.
Element x y z (fractional)
K  0.0000  0.0000  0.2226  4 K 3.08, 4 Ru 3.36
K  0.0000  0.0000  0.7774  4 K 3.08, 4 Ru 3.36
Cd  0.5000  0.5000  0.5000  4 Cd 3.08
Ru  0.5000  0.5000  0.0000  4 Ru 3.08, 8 K 3.36

=====

[2]
An optimized crystal structure of KCdRu2, computed with GGA-PBE.

## Properties
SG ... Cmm2
Energy of formation from the pure elements ... 17.88 kcal/mol of atoms
Total moment ... 0.87 μB per formula unit

a = 2.8476 Å, b = 2.8476 Å, c = 10.5940 Å
α = 90.00°, β = 90.00°, γ = 117.12°
Closest atoms and distances in Å follow each position.
Element x y z (fractional)
K  0.0000  0.0000  0.0000  6 K 2.85-2.97, 2 Ru 3.17
Cd  0.5000  0.5000  0.6952  6 Cd 2.85-2.97, 2 Ru 2.90
Ru  0.0000  0.0000  0.4601  6 Ru 2.55-2.85
Ru  0.5000  0.5000  0.2646  6 Ru 2.55-2.85

=====

[3]
An optimized crystal structure of K2CdRu, computed with GGA-PBE.

## Properties
SG ... Pmmm
Energy of formation from the pure elements ... 19.87 kcal/mol of atoms
Total moment ... 0.70 μB per formula unit

a = 3.8596 Å, b = 4.7027 Å, c = 5.6114 Å
α = 90.00°, β = 90.00°, γ = 90.00°
Closest atoms and distances in Å follow each position.
Element x y z (fractional)
K  0.0000  0.0000  0.0000  4 K 3.04, 4 Ru 3.41
K  0.5000  0.5000  0.0000  4 K 3.04, 4 Cd 3.41
Cd  0.0000  0.5000  0.5000  4 Ru 3.04, 4 K 3.41
Ru  0.5000  0.0000  0.5000  4 Cd 3.04, 4 K 3.41

=====

[4]
An optimized crystal structure of KCd2Ru, computed with GGA-PBE.

## Properties
SG ... Pm
Energy of formation from the pure elements ... 9.53 kcal/mol of atoms
Excess energy over the best structure of this formula in the dataset ... 56 meV/atom
Total moment ... 0.35 μB per formula unit

a = 2.9924 Å, b = 4.6280 Å, c = 7.8097 Å
α = 90.00°, β = 90.10°, γ = 90.00°
Closest atoms and distances in Å follow each position.
Element x y z (fractional)
K  0.0000  0.0000  0.0000  2 K 2.99
Cd  0.4961  0.5000  0.3353  2 Ru 2.78, 2 Cd 2.99
Cd  0.4968  0.0000  0.6028  4 Ru 2.77, 2 Cd 2.99
Ru  0.9971  0.5000  0.6350  6 Cd 2.77-2.78, 2 Ru 2.99

=====

[5]
An optimized crystal structure of KCdRu2, computed with GGA-PBE.

## Properties
SG ... F-43m
Energy of formation from the pure elements ... 25.42 kcal/mol of atoms
Total moment ... 0.73 μB per formula unit

a = 4.7367 Å, b = 4.7367 Å, c = 4.7367 Å
α = 60.00°, β = 60.00°, γ = 60.00°
Closest atoms and distances in Å follow each position.
Element x y z (fractional)
K  0.0000  0.0000  0.0000  4 Cd 2.90, 4 Ru 2.90
Cd  0.2500  0.2500  0.2500  4 K 2.90, 4 Ru 2.90
Ru  0.5000  0.5000  0.5000  4 Cd 2.90, 4 Ru 2.90
Ru  0.7500  0.7500  0.7500  4 K 2.90, 4 Ru 2.90

=====

[6]
An optimized crystal structure of KCdRu2, computed with GGA-PBE.

## Properties
SG ... R-3m
Energy of formation from the pure elements ... 19.57 kcal/mol of atoms
Total moment ... 0.96 μB per formula unit

a = 10.5907 Å, b = 10.5907 Å, c = 10.5907 Å
α = 15.49°, β = 15.49°, γ = 15.49°
Closest atoms and distances in Å follow each position.
Element x y z (fractional)
K  0.0000  0.0000  0.0000  6 K 2.85
Cd  0.5000  0.5000  0.5000  6 Cd 2.85, 6 Ru 2.87
Ru  0.2417  0.2417  0.2417  6 Ru 2.85, 3 Cd 2.87
Ru  0.7583  0.7583  0.7583  6 Ru 2.85, 3 Cd 2.87

=====

[7]
An optimized crystal structure of KCdRu2, computed with GGA-PBE.

## Properties
SG ... P4/mmm
Energy of formation from the pure elements ... 21.57 kcal/mol of atoms
Total moment ... 2.49 μB per formula unit

a = 2.7962 Å, b = 2.7962 Å, c = 9.9444 Å
α = 90.00°, β = 90.00°, γ = 90.00°
Closest atoms and distances in Å follow each position.
Element x y z (fractional)
K  0.0000  0.0000  0.0000  4 K 2.80
Cd  0.0000  0.0000  0.5000  4 Cd 2.80, 8 Ru 2.93
Ru  0.5000  0.5000  0.2829  4 Ru 2.80, 4 Cd 2.93
Ru  0.5000  0.5000  0.7171  4 Ru 2.80, 4 Cd 2.93

=====

[8]
An optimized crystal structure of K2CdRu2, computed with GGA-PBE.

## Properties
SG ... P4/mbm
Energy of formation from the pure elements ... 32.74 kcal/mol of atoms
Excess energy over the best structure of this formula in the dataset ... 838 meV/atom
Total moment ... 1.43 μB per formula unit

a = 9.7374 Å, b = 9.7374 Å, c = 2.6250 Å
α = 90.00°, β = 90.00°, γ = 90.00°
Closest atoms and distances in Å follow each position.
Element x y z (fractional)
K  0.1188  0.3812  0.0000  2 K 2.63
K  0.3812  0.8812  0.0000  2 K 2.63
K  0.6188  0.1188  0.0000  2 K 2.63
K  0.8812  0.6188  0.0000  2 K 2.63
Cd  0.0000  0.0000  0.0000  2 Cd 2.63
Cd  0.5000  0.5000  0.0000  2 Cd 2.63
Ru  0.1831  0.6831  0.5000  2 Ru 2.63
Ru  0.3169  0.1831  0.5000  2 Ru 2.63
Ru  0.6831  0.8169  0.5000  2 Ru 2.63
Ru  0.8169  0.3169  0.5000  2 Ru 2.63

=====

[9]
An optimized crystal structure of KCd2Ru, computed with GGA-PBE.

## Properties
SG ... Imm2
Energy of formation from the pure elements ... 9.00 kcal/mol of atoms
Excess energy over the best structure of this formula in the dataset ... 33 meV/atom
Total moment ... 0.30 μB per formula unit

a = 8.3563 Å, b = 8.3563 Å, c = 8.3563 Å
α = 159.57°, β = 147.41°, γ = 38.77°
Closest atoms and distances in Å follow each position.
Element x y z (fractional)
K  0.0000  0.0000  0.0000  2 K 2.96
Cd  0.3391  0.3391  0.0000  2 Ru 2.74, 2 Cd 2.96
Cd  0.6840  0.1840  0.5000  4 Ru 2.78, 2 Cd 2.96
Ru  0.1927  0.6927  0.5000  6 Cd 2.74-2.78, 2 Ru 2.96

=====

[10]
An optimized crystal structure of KCdRu2, computed with GGA-PBE.

## Properties
SG ... Cmmm
Energy of formation from the pure elements ... 24.51 kcal/mol of atoms
Total moment ... 0.23 μB per formula unit

a = 5.7571 Å, b = 5.7571 Å, c = 2.5889 Å
α = 90.00°, β = 90.00°, γ = 117.98°
Closest atoms and distances in Å follow each position.
Element x y z (fractional)
K  0.0000  0.0000  0.0000  2 K 2.59
Cd  0.5000  0.5000  0.0000  2 Cd 2.59
Ru  0.0000  0.5000  0.5000  2 Ru 2.59
Ru  0.5000  0.0000  0.5000  2 Ru 2.59

=====

[11]
An optimized crystal structure of KCdRu2, computed with GGA-PBE.

## Properties
SG ... C2/m
Energy of formation from the pure elements ... 19.12 kcal/mol of atoms
Total moment ... 1.83 μB per formula unit

a = 5.2215 Å, b = 5.2215 Å, c = 6.4904 Å
α = 96.85°, β = 96.85°, γ = 31.41°
Closest atoms and distances in Å follow each position.
Element x y z (fractional)
K  0.0000  0.0000  0.0000  2 K 2.83
Cd  0.5000  0.5000  0.5000  6 Ru 2.82-2.97, 2 Cd 2.83
Ru  0.2343  0.2343  0.6540  2 Ru 2.50
Ru  0.7657  0.7657  0.3460  2 Ru 2.50

=====

[12]
An optimized crystal structure of KCdRu2, computed with GGA-PBE.

## Properties
SG ... Cm
Energy of formation from the pure elements ... 12.45 kcal/mol of atoms
Total moment ... 0.00 μB per formula unit

a = 4.3649 Å, b = 4.3649 Å, c = 7.9337 Å
α = 93.71°, β = 93.71°, γ = 37.66°
Closest atoms and distances in Å follow each position.
Element x y z (fractional)
K  0.0000  0.0000  0.0000  2 K 2.82
Cd  0.2323  0.2323  0.6484  2 Cd 2.82, 5 Ru 2.90-3.01
Ru  0.4993  0.4993  0.4229  3 Ru 2.37-2.53
Ru  0.7602  0.7602  0.3159  3 Ru 2.37-2.53

=====

[13]
An optimized crystal structure of KCd4Ru, computed with GGA-PBE.

## Properties
SG ... F-43m
Energy of formation from the pure elements ... 10.41 kcal/mol of atoms
Total moment ... 1.72 μB per formula unit

a = 5.8033 Å, b = 5.8033 Å, c = 5.8033 Å
α = 60.00°, β = 60.00°, γ = 60.00°
Closest atoms and distances in Å follow each position.
Element x y z (fractional)
K  0.0000  0.0000  0.0000  12 Cd 3.41, 4 Ru 3.55
Cd  0.3762  0.3762  0.3762  6 Cd 2.87-2.93
Cd  0.3762  0.3762  0.8714  6 Cd 2.87-2.93
Cd  0.3762  0.8714  0.3762  6 Cd 2.87-2.93
Cd  0.8714  0.3762  0.3762  6 Cd 2.87-2.93
Ru  0.7500  0.7500  0.7500  12 Cd 3.40, 4 K 3.55

=====

[14]
An optimized crystal structure of KCd2Ru, computed with GGA-PBE.

## Properties
SG ... P4/mmm
Energy of formation from the pure elements ... 8.23 kcal/mol of atoms
Excess energy over the best structure of this formula in the dataset ... 0 meV/atom
Total moment ... 0.27 μB per formula unit

a = 3.4135 Å, b = 3.4135 Å, c = 8.2718 Å
α = 90.00°, β = 90.00°, γ = 90.00°
Closest atoms and distances in Å follow each position.
Element x y z (fractional)
K  0.0000  0.0000  0.0000  4 K 3.41, 8 Cd 3.60
Cd  0.5000  0.5000  0.3230  4 Ru 2.82, 1 Cd 2.93
Cd  0.5000  0.5000  0.6770  4 Ru 2.82, 1 Cd 2.93
Ru  0.0000  0.0000  0.5000  8 Cd 2.82

=====

[15]
An optimized crystal structure of K2CdRu, computed with GGA-PBE.

## Properties
SG ... Imm2
Energy of formation from the pure elements ... 17.28 kcal/mol of atoms
Total moment ... 1.43 μB per formula unit

a = 6.1179 Å, b = 6.1179 Å, c = 6.1179 Å
α = 134.43°, β = 122.76°, γ = 76.05°
Closest atoms and distances in Å follow each position.
Element x y z (fractional)
K  0.0000  0.0000  0.0000  4 K 3.53-3.71, 4 Ru 3.53-3.70, 4 Cd 3.85
K  0.7034  0.2034  0.5000  4 K 3.53-3.71, 4 Cd 3.59-3.63, 5 Ru 3.87-3.94
Cd  0.4177  0.4177  0.0000  2 Ru 2.65
Ru  0.2951  0.7951  0.5000  2 Cd 2.65

=====

[16]
An optimized crystal structure of K2CdRu, computed with GGA-PBE.

## Properties
SG ... R-3m
Energy of formation from the pure elements ... 19.98 kcal/mol of atoms
Total moment ... 0.98 μB per formula unit

a = 12.0893 Å, b = 12.0893 Å, c = 12.0893 Å
α = 14.92°, β = 14.92°, γ = 14.92°
Closest atoms and distances in Å follow each position.
Element x y z (fractional)
K  0.2415  0.2415  0.2415  6 K 3.14, 3 Ru 3.24
K  0.7585  0.7585  0.7585  6 K 3.14, 3 Ru 3.24
Cd  0.0000  0.0000  0.0000  6 Cd 3.14
Ru  0.5000  0.5000  0.5000  6 Ru 3.14, 6 K 3.24

=====

[17]
An optimized crystal structure of KCdRu2, computed with GGA-PBE.

## Properties
SG ... Pmmm
Energy of formation from the pure elements ... 19.23 kcal/mol of atoms
Total moment ... 2.08 μB per formula unit

a = 2.7692 Å, b = 4.6298 Å, c = 7.0804 Å
α = 90.00°, β = 90.00°, γ = 90.00°
Closest atoms and distances in Å follow each position.
Element x y z (fractional)
K  0.0000  0.0000  0.0000  2 K 2.77
Cd  0.0000  0.0000  0.5000  2 Cd 2.77, 8 Ru 2.94
Ru  0.5000  0.5000  0.3356  1 Ru 2.33
Ru  0.5000  0.5000  0.6644  1 Ru 2.33

=====

[18]
An optimized crystal structure of K2CdRu2, computed with GGA-PBE.

## Properties
SG ... I4/mmm
Energy of formation from the pure elements ... 13.41 kcal/mol of atoms
Excess energy over the best structure of this formula in the dataset ... 0 meV/atom
Total moment ... 0.00 μB per formula unit

a = 12.0387 Å, b = 12.0387 Å, c = 12.0387 Å
α = 163.40°, β = 163.40°, γ = 23.56°
Closest atoms and distances in Å follow each position.
Element x y z (fractional)
K  0.1240  0.1240  0.0000  4 Ru 3.44, 4 K 3.48, 4 Cd 3.82
K  0.8760  0.8760  0.0000  4 Ru 3.44, 4 K 3.48, 4 Cd 3.82
Cd  0.5000  0.5000  0.0000  4 Cd 3.48, 8 K 3.82
Ru  0.2500  0.7500  0.5000  4 Ru 2.46
Ru  0.7500  0.2500  0.5000  4 Ru 2.46

=====

[19]
An optimized crystal structure of KCdRu2, computed with GGA-PBE.

## Properties
SG ... Imm2
Energy of formation from the pure elements ... 20.13 kcal/mol of atoms
Total moment ... 0.00 μB per formula unit

a = 6.2643 Å, b = 6.2643 Å, c = 6.2643 Å
α = 153.88°, β = 128.47°, γ = 58.67°
Closest atoms and distances in Å follow each position.
Element x y z (fractional)
K  0.0000  0.0000  0.0000  2 K 2.83, 4 Ru 3.09
Cd  0.7028  0.2028  0.5000  2 Cd 2.83, 2 Ru 2.94
Ru  0.2841  0.7841  0.5000  2 Ru 2.44
Ru  0.4664  0.4664  0.0000  2 Ru 2.44

=====

[20]
An optimized crystal structure of KCdRu2, computed with GGA-PBE.

## Properties
SG ... P4/mmm
Energy of formation from the pure elements ... 23.42 kcal/mol of atoms
Total moment ... 3.30 μB per formula unit

a = 3.5612 Å, b = 3.5612 Å, c = 7.4089 Å
α = 90.00°, β = 90.00°, γ = 90.00°
Closest atoms and distances in Å follow each position.
Element x y z (fractional)
K  0.0000  0.0000  0.0000  8 Ru 3.55, 4 K 3.56, 2 Cd 3.70
Cd  0.0000  0.0000  0.5000  8 Ru 2.79
Ru  0.5000  0.5000  0.3371  1 Ru 2.41
Ru  0.5000  0.5000  0.6629  1 Ru 2.41